Entry 1:
Material: NaSrCa2F
Method: DFT, PBEsol
State: relaxed

The space group is P4/mmm (No. 123) and the conventional cell measures 5.943, 5.943 and 6.669 Å, with angles of 90.00, 90.00 and 90.00 degrees. The asymmetric unit holds Na at (0.000, 0.000, 0.000), Sr at (0.000, 0.000, 0.500), Ca at (0.000, 0.500, 0.000) and F at (0.500, 0.500, 0.500).

The value obtained for the energy is -1.8351 eV/atom. Its crystal system is tetragonal. For the total magnetization, the calculation gives 0.00 μB per atom. The calculation puts the uncorrected formation energy at 0.052 eV/atom.



Entry 2:
Material: MgTaSb2Te
Method: DFT, PBEsol
State: relaxed

The space group is P4/mmm (No. 123) and the conventional cell measures 5.338, 5.338 and 5.339 Å, with angles of 90.00, 90.00 and 90.00 degrees. The asymmetric unit holds Mg at (0.000, 0.000, 0.000), Ta at (0.500, 0.500, 0.500), Sb at (0.000, 0.500, 0.500) and Te at (0.500, 0.500, 0.000).

The value obtained for the energy is -5.0242 eV/atom. Its crystal system is tetragonal. For the total magnetization, the calculation gives 0.00 μB per atom. The calculation puts the uncorrected formation energy at 0.358 eV/atom.



Entry 3:
Material: LaYCd
Method: DFT, PBEsol
State: relaxed

The space group is I4mm (No. 107) and the conventional cell measures 3.675, 3.675 and 12.883 Å, with angles of 90.00, 90.00 and 90.00 degrees. The asymmetric unit holds La at (0.000, 0.000, 0.000), Y at (0.000, 0.000, 0.693) and Cd at (0.000, 0.000, 0.333).

The value obtained for the energy is -4.6558 eV/atom. Its crystal system is tetragonal. For the total magnetization, the calculation gives 0.18 μB per atom. Its formation energy is -0.201 eV per atom.



Entry 4:
Material: TaBe2NbGa
Method: DFT, PBEsol
State: relaxed

The space group is P4/mmm (No. 123) and the conventional cell measures 4.063, 4.063 and 4.772 Å, with angles of 90.00, 90.00 and 90.00 degrees. The asymmetric unit holds Ta at (0.000, 0.000, 0.000), Be at (0.000, 0.500, 0.500), Nb at (0.500, 0.500, 0.000) and Ga at (0.000, 0.000, 0.500).

The value obtained for the energy is -6.0372 eV/atom. Its crystal system is tetragonal. Its offset from the most stable computed form is 0 meV per atom. For the total magnetization, the calculation gives 0.00 μB per atom. Its formation energy is 0.905 eV per atom.



Entry 5:
Material: LiMg2Cu
Method: DFT, PBEsol
State: relaxed

The space group is Pm (No. 6) and the conventional cell measures 2.897, 4.394 and 5.454 Å, with angles of 90.00, 104.05 and 90.00 degrees. The asymmetric unit holds Li at (0.000, 0.000, 0.000), Mg at (0.304, 0.000, 0.548), Mg at (0.618, 0.500, 0.210) and Cu at (0.913, 0.500, 0.746).

The value obtained for the energy is -2.4260 eV/atom. Its crystal system is monoclinic. For the total magnetization, the calculation gives 0.00 μB per atom. Its formation energy is 0.008 eV per atom.



Entry 6:
Material: MgV3O8
Method: DFT, PBEsol
State: relaxed

The space group is C2/c (No. 15) and the conventional cell measures 10.384, 8.502 and 13.632 Å, with angles of 90.00, 101.27 and 90.00 degrees. The asymmetric unit holds Mg at (0.216, 0.067, 0.353), V at (0.014, 0.257, 0.888), V at (0.078, 0.252, 0.148), V at (0.220, 0.431, 0.365), O at (0.066, 0.268, 0.021), O at (0.079, 0.095, 0.854), O at (0.080, 0.419, 0.846), O at (0.089, 0.255, 0.339), O at (0.157, 0.247, 0.645), O at (0.164, 0.080, 0.183), O at (0.166, 0.409, 0.197) and O at (0.249, 0.058, 0.513).

The value obtained for the energy is -8.4717 eV/atom. Its crystal system is monoclinic. Its offset from the most stable computed form is 2 meV per atom. For the total magnetization, the calculation gives 0.09 μB per atom. The calculation puts the uncorrected formation energy at -2.420 eV/atom.